# LiPrPaRu (GGA-PBE, optimized geometry)
# E = -25.19 eV/f.u.
# calculated volume = 21.825 Å³ per atom
# energy relative to the elements = 0.0676 eV per atom
# density of states at the Fermi level = 1.294 states/eV per atom
data_LiPrPaRu
_chemical_formula_sum 'Li4 Pr4 Pa4 Ru4'
_symmetry_space_group_name_H-M 'F -4 3 m'
_symmetry_Int_Tables_number 216
_symmetry_space_group_name_Hall 'F -4 2 3'
_cell_length_a 7.042
_cell_length_b 7.042
_cell_length_c 7.042
_cell_angle_alpha 90.00
_cell_angle_beta 90.00
_cell_angle_gamma 90.00
loop_
_atom_site_label
_atom_site_type_symbol
_atom_site_fract_x
_atom_site_fract_y
_atom_site_fract_z
_atom_site_occupancy
Li1 Li 0.000 0.000 0.000 1
Pr1 Pr 0.250 0.250 0.750 1
Pa1 Pa 0.250 0.250 0.250 1
Ru1 Ru 0.000 0.000 0.500 1



# Nd3Ni5Te12 (GGA-PBE, optimized geometry)
# E = -91.18 eV/f.u.
# calculated volume = 28.139 Å³ per atom
# density of states at the Fermi level = 0.885 states/eV per atom
data_Nd3Ni5Te12
_chemical_formula_sum 'Nd24 Ni40 Te96'
_symmetry_space_group_name_H-M 'I a -3 d'
_symmetry_Int_Tables_number 230
_symmetry_space_group_name_Hall '-I 4bd 2c 3'
_cell_length_a 16.512
_cell_length_b 16.512
_cell_length_c 16.512
_cell_angle_alpha 90.00
_cell_angle_beta 90.00
_cell_angle_gamma 90.00
loop_
_atom_site_label
_atom_site_type_symbol
_atom_site_fract_x
_atom_site_fract_y
_atom_site_fract_z
_atom_site_occupancy
Nd1 Nd 0.000 0.250 0.125 1
Ni1 Ni 0.000 0.000 0.000 1
Ni2 Ni 0.000 0.250 0.375 1
Te1 Te 0.032 0.055 0.645 1



# Ca2Al4CuPd3 (GGA-PBE, optimized geometry)
# E = -45.23 eV/f.u.
# calculated volume = 19.139 Å³ per atom
# energy relative to the elements = -0.6584 eV per atom
# density of states at the Fermi level = 0.491 states/eV per atom
data_Ca2Al4CuPd3
_chemical_formula_sum 'Ca2 Al4 Cu1 Pd3'
_symmetry_space_group_name_H-M 'P -4 m 2'
_symmetry_Int_Tables_number 115
_cell_length_a 4.373
_cell_length_b 4.373
_cell_length_c 10.008
_cell_angle_alpha 90.00
_cell_angle_beta 90.00
_cell_angle_gamma 90.00
loop_
_symmetry_equiv_pos_as_xyz
'x,y,z'
'y,-x,-z'
'-x,-y,z'
'-y,x,-z'
'-x,y,z'
'-y,-x,-z'
'x,-y,z'
'y,x,-z'
loop_
_atom_site_label
_atom_site_type_symbol
_atom_site_fract_x
_atom_site_fract_y
_atom_site_fract_z
_atom_site_occupancy
Ca1 Ca 0.000 0.500 0.241 1
Al1 Al 0.000 0.000 0.500 1
Al2 Al 0.000 0.500 0.881 1
Al3 Al 0.500 0.500 0.500 1
Cu1 Cu 0.500 0.500 0.000 1
Pd1 Pd 0.000 0.000 0.000 1
Pd2 Pd 0.000 0.500 0.632 1



# PrHoNi3 (GGA-PBE, optimized geometry)
# E = -28.55 eV/f.u.
# calculated volume = 19.237 Å³ per atom
# energy relative to the elements = -0.3694 eV per atom
# density of states at the Fermi level = 0.979 states/eV per atom
data_PrHoNi3
_chemical_formula_sum 'Pr4 Ho4 Ni12'
_symmetry_space_group_name_H-M 'C m c m'
_symmetry_Int_Tables_number 63
_symmetry_space_group_name_Hall '-C 2c 2'
_cell_length_a 3.959
_cell_length_b 24.205
_cell_length_c 4.015
_cell_angle_alpha 90.00
_cell_angle_beta 90.00
_cell_angle_gamma 90.00
loop_
_atom_site_label
_atom_site_type_symbol
_atom_site_fract_x
_atom_site_fract_y
_atom_site_fract_z
_atom_site_occupancy
Pr1 Pr 0.000 0.073 0.250 1
Ho1 Ho 0.000 0.205 0.750 1
Ni1 Ni 0.000 0.323 0.750 1
Ni2 Ni 0.000 0.377 0.250 1
Ni3 Ni 0.000 0.474 0.250 1



# HfV2Cd (GGA-PBE, optimized geometry)
# E = -26.17 eV/f.u.
# calculated volume = 18.711 Å³ per atom
# energy relative to the elements = 0.7329 eV per atom
# density of states at the Fermi level = 1.100 states/eV per atom
data_HfV2Cd
_chemical_formula_sum 'Hf4 V8 Cd4'
_symmetry_space_group_name_H-M 'I -4 2 d'
_symmetry_Int_Tables_number 122
_symmetry_space_group_name_Hall 'I -4 2bw'
_cell_length_a 3.924
_cell_length_b 3.924
_cell_length_c 19.441
_cell_angle_alpha 90.00
_cell_angle_beta 90.00
_cell_angle_gamma 90.00
loop_
_atom_site_label
_atom_site_type_symbol
_atom_site_fract_x
_atom_site_fract_y
_atom_site_fract_z
_atom_site_occupancy
Hf1 Hf 0.000 0.000 0.000 1
V1 V 0.232 0.250 0.125 1
Cd1 Cd 0.000 0.000 0.500 1



# Mg2MoRh (GGA-PBE, optimized geometry)
# E = -21.75 eV/f.u.
# energy above the most stable polymorph in this dataset = 0.0 meV/atom
# calculated volume = 17.101 Å³ per atom
# energy relative to the elements = -0.0955 eV per atom
# density of states at the Fermi level = 0.643 states/eV per atom
data_Mg2MoRh
_chemical_formula_sum 'Mg2 Mo1 Rh1'
_symmetry_space_group_name_H-M 'P 4 m m'
_symmetry_Int_Tables_number 99
_cell_length_a 2.997
_cell_length_b 2.997
_cell_length_c 7.617
_cell_angle_alpha 90.00
_cell_angle_beta 90.00
_cell_angle_gamma 90.00
loop_
_symmetry_equiv_pos_as_xyz
'x,y,z'
'-y,x,z'
'-x,-y,z'
'y,-x,z'
'-x,y,z'
'y,x,z'
'x,-y,z'
'-y,-x,z'
loop_
_atom_site_label
_atom_site_type_symbol
_atom_site_fract_x
_atom_site_fract_y
_atom_site_fract_z
_atom_site_occupancy
Mg1 Mg 0.000 0.000 0.000 1
Mg2 Mg 0.500 0.500 0.308 1
Mo1 Mo 0.000 0.000 0.565 1
Rh1 Rh 0.500 0.500 0.778 1